Compound: Pr3AlN
Source: the Alexandria database
Functional: GGA-PBEsol
Structure: optimized geometry

DFT total energy = -6.4075 eV per atom
total magnetization = 0.00 μB per formula unit

Unit cell a=4.9828 b=4.9828 c=4.9828 alpha=90.00 beta=90.00 gamma=90.00
Closest atoms and distances in Å follow each position.
Positions (direct):
Pr: 0.0000 0.0000 0.5000  2 N 2.49
Pr: 0.0000 0.5000 0.0000  2 N 2.49
Pr: 0.5000 0.0000 0.0000  2 N 2.49
Al: 0.5000 0.5000 0.5000  12 Pr 3.52
N: 0.0000 0.0000 0.0000  6 Pr 2.49

Compound: LiBeNi2
Source: the Alexandria database
Functional: GGA-PBEsol
Structure: optimized geometry

energy relative to the elements = -34 meV per atom
total magnetization = 0.00 μB per formula unit

Unit cell a=3.2946 b=3.2946 c=7.1317 alpha=90.00 beta=90.00 gamma=90.00
Closest atoms and distances in Å follow each position.
Positions (direct):
Li: 0.0000 0.0000 0.0000  8 Ni 2.33-2.43, 4 Be 2.43
Li: 0.5000 0.5000 0.5000  8 Ni 2.33-2.43, 4 Be 2.43
Be: 0.0000 0.5000 0.7500  8 Ni 2.33-2.43, 4 Li 2.43
Be: 0.5000 0.0000 0.2500  8 Ni 2.33-2.43, 4 Li 2.43
Ni: 0.0000 0.0000 0.5000  4 Li 2.33, 4 Ni 2.43, 4 Be 2.43
Ni: 0.0000 0.5000 0.2500  4 Be 2.33, 4 Li 2.43, 4 Ni 2.43
Ni: 0.5000 0.0000 0.7500  4 Be 2.33, 4 Li 2.43, 4 Ni 2.43
Ni: 0.5000 0.5000 0.0000  4 Li 2.33, 4 Be 2.43, 4 Ni 2.43